# TlFeP2 PBE relaxed
data_TlFeP2
_chemical_formula_sum 'Tl1 Fe1 P2'
_symmetry_space_group_name_H-M 'P 1'
_symmetry_Int_Tables_number 1
_cell_length_a 4.497
_cell_length_b 4.497
_cell_length_c 3.486
_cell_angle_alpha 90.00
_cell_angle_beta 90.00
_cell_angle_gamma 90.00
loop_
_symmetry_equiv_pos_as_xyz
'x,y,z'
loop_
_atom_site_label
_atom_site_type_symbol
_atom_site_fract_x
_atom_site_fract_y
_atom_site_fract_z
Fe1 Fe 0.000 0.500 0.500
P1 P 0.000 0.000 0.000
P2 P 0.500 0.500 0.000
Tl1 Tl 0.500 0.000 0.500
# * symmetry: P4/mmm
# * uncorrected energy: -4.608 eV per atom
# * mass density: 7.6 Mg/m³

# PmPrSn2 PBE relaxed
data_PmPrSn2
_chemical_formula_sum 'Pm1 Pr1 Sn2'
_symmetry_space_group_name_H-M 'P 1'
_symmetry_Int_Tables_number 1
_cell_length_a 3.547
_cell_length_b 3.547
_cell_length_c 9.109
_cell_angle_alpha 90.00
_cell_angle_beta 90.00
_cell_angle_gamma 90.00
loop_
_symmetry_equiv_pos_as_xyz
'x,y,z'
loop_
_atom_site_label
_atom_site_type_symbol
_atom_site_fract_x
_atom_site_fract_y
_atom_site_fract_z
Pr1 Pr 0.500 0.500 0.500
Sn1 Sn 0.000 0.000 0.753
Sn2 Sn 0.000 0.000 0.247
Pm1 Pm 0.500 0.500 0.000
# * symmetry: P4/mmm
# * uncorrected energy: -5.059 eV per atom
# * mass density: 7.6 Mg/m³

# Ti2CrI PBE relaxed
data_Ti2CrI
_chemical_formula_sum 'Ti2 Cr1 I1'
_symmetry_space_group_name_H-M 'P 1'
_symmetry_Int_Tables_number 1
_cell_length_a 4.602
_cell_length_b 4.602
_cell_length_c 4.602
_cell_angle_alpha 60.00
_cell_angle_beta 60.00
_cell_angle_gamma 60.00
loop_
_symmetry_equiv_pos_as_xyz
'x,y,z'
loop_
_atom_site_label
_atom_site_type_symbol
_atom_site_fract_x
_atom_site_fract_y
_atom_site_fract_z
I1 I 0.500 0.500 0.500
Cr1 Cr 0.000 0.000 0.000
Ti1 Ti 0.250 0.250 0.250
Ti2 Ti 0.750 0.750 0.750
# * symmetry: Fm-3m
# * energy relative to the elements, uncorrected: 2.28 eV/f.u.
# * mass density: 6.6 Mg/m³

# CeNd2Hg3 PBE relaxed
data_CeNd2Hg3
_chemical_formula_sum 'Ce1 Nd2 Hg3'
_symmetry_space_group_name_H-M 'P 1'
_symmetry_Int_Tables_number 1
_cell_length_a 3.827
_cell_length_b 3.827
_cell_length_c 11.571
_cell_angle_alpha 90.00
_cell_angle_beta 90.00
_cell_angle_gamma 90.00
loop_
_symmetry_equiv_pos_as_xyz
'x,y,z'
loop_
_atom_site_label
_atom_site_type_symbol
_atom_site_fract_x
_atom_site_fract_y
_atom_site_fract_z
Ce1 Ce 0.500 0.500 0.500
Nd1 Nd 0.500 0.500 0.834
Nd2 Nd 0.500 0.500 0.166
Hg1 Hg 0.000 0.000 0.000
Hg2 Hg 0.000 0.000 0.667
Hg3 Hg 0.000 0.000 0.333
# * symmetry: P4/mmm
# * uncorrected energy: -3.138 eV per atom
# * mass density: 10.1 Mg/m³

# Os2RuPb PBE relaxed
data_Os2RuPb
_chemical_formula_sum 'Os2 Ru1 Pb1'
_symmetry_space_group_name_H-M 'P 1'
_symmetry_Int_Tables_number 1
_cell_length_a 9.823
_cell_length_b 9.823
_cell_length_c 9.823
_cell_angle_alpha 16.72
_cell_angle_beta 16.72
_cell_angle_gamma 16.72
loop_
_symmetry_equiv_pos_as_xyz
'x,y,z'
loop_
_atom_site_label
_atom_site_type_symbol
_atom_site_fract_x
_atom_site_fract_y
_atom_site_fract_z
Os1 Os 0.011 0.011 0.011
Os2 Os 0.489 0.489 0.489
Pb1 Pb 0.250 0.250 0.250
Ru1 Ru 0.750 0.750 0.750
# * symmetry: R-3m
# * uncorrected energy: -8.051 eV per atom
# * mass density: 16.7 Mg/m³

# TaTe2P PBE relaxed
data_TaTe2P
_chemical_formula_sum 'Ta1 Te2 P1'
_symmetry_space_group_name_H-M 'P 1'
_symmetry_Int_Tables_number 1
_cell_length_a 3.384
_cell_length_b 4.759
_cell_length_c 5.220
_cell_angle_alpha 90.00
_cell_angle_beta 90.00
_cell_angle_gamma 90.00
loop_
_symmetry_equiv_pos_as_xyz
'x,y,z'
loop_
_atom_site_label
_atom_site_type_symbol
_atom_site_fract_x
_atom_site_fract_y
_atom_site_fract_z
Ta1 Ta 0.000 0.500 0.500
Te1 Te 0.000 0.000 0.000
Te2 Te 0.500 0.000 0.500
P1 P 0.500 0.500 0.000
# * symmetry: Pmmm
# * energy relative to the elements, uncorrected: 2.58 eV/f.u.
# * mass density: 9.2 Mg/m³